Material: PaZn2Ni9
Method: DFT, GGA-PBE
State: optimized geometry

Unit cell a=8.252 b=8.252 c=8.252 alpha=33.73 beta=33.73 gamma=33.73
Fractional positions:
Pa 0.000 0.000 0.000
Zn 0.146 0.146 0.146
Zn 0.854 0.854 0.854
Ni 0.082 0.588 0.588
Ni 0.334 0.334 0.334
Ni 0.412 0.412 0.918
Ni 0.412 0.918 0.412
Ni 0.500 0.500 0.500
Ni 0.588 0.082 0.588
Ni 0.588 0.588 0.082
Ni 0.666 0.666 0.666
Ni 0.918 0.412 0.412

Values from the calculation:
* raw total energy: -5.57 eV per atom
* formation energy: -0.2285 eV/atom

---

Material: Pa2Zn5Ni5
Method: DFT, GGA-PBE
State: optimized geometry

Unit cell a=4.209 b=4.980 c=8.623 alpha=90.00 beta=90.00 gamma=90.00
Fractional positions:
Pa 0.000 0.000 0.000
Pa 0.000 0.500 0.500
Zn 0.500 0.000 0.500
Zn 0.500 0.252 0.246
Zn 0.500 0.252 0.754
Zn 0.500 0.748 0.246
Zn 0.500 0.748 0.754
Ni 0.000 0.000 0.334
Ni 0.000 0.000 0.666
Ni 0.000 0.500 0.163
Ni 0.000 0.500 0.837
Ni 0.500 0.500 0.000

Values from the calculation:
* raw total energy: -4.82 eV per atom
* formation energy: -0.2971 eV/atom

---

Material: Pa2ZnNi5
Method: DFT, GGA-PBE
State: optimized geometry

Unit cell a=5.459 b=5.459 c=5.459 alpha=113.54 beta=113.54 gamma=101.61
Fractional positions:
Pa 0.000 0.500 0.500
Pa 0.500 0.000 0.500
Zn 0.131 0.131 0.000
Ni 0.480 0.480 0.000
Ni 0.552 0.552 0.588
Ni 0.552 0.963 0.000
Ni 0.963 0.552 0.000
Ni 0.963 0.963 0.412

Values from the calculation:
* raw total energy: -6.38 eV per atom
* formation energy: -0.2329 eV/atom

---

Material: Pa2ZnNi4
Method: DFT, GGA-PBE
State: optimized geometry

Unit cell a=7.229 b=7.229 c=7.229 alpha=144.59 beta=144.59 gamma=50.95
Fractional positions:
Pa 0.140 0.140 0.000
Pa 0.860 0.860 0.000
Zn 0.500 0.500 0.000
Ni 0.000 0.500 0.500
Ni 0.322 0.322 0.000
Ni 0.500 0.000 0.500
Ni 0.678 0.678 0.000

Values from the calculation:
* raw total energy: -6.06 eV per atom
* formation energy: 0.1432 eV/atom

---

Material: Pa3ZnNi8
Method: DFT, GGA-PBE
State: optimized geometry

Unit cell a=8.675 b=8.675 c=8.675 alpha=33.18 beta=33.18 gamma=33.18
Fractional positions:
Pa 0.000 0.000 0.000
Pa 0.128 0.128 0.128
Pa 0.509 0.509 0.509
Zn 0.632 0.632 0.632
Ni 0.062 0.567 0.567
Ni 0.070 0.070 0.566
Ni 0.070 0.566 0.070
Ni 0.317 0.317 0.317
Ni 0.566 0.070 0.070
Ni 0.567 0.062 0.567
Ni 0.567 0.567 0.062
Ni 0.817 0.817 0.817

Values from the calculation:
* raw total energy: -6.74 eV per atom
* formation energy: -0.4010 eV/atom

---

Material: Pa2Zn2Ni15
Method: DFT, GGA-PBE
State: optimized geometry

Unit cell a=6.289 b=6.289 c=6.289 alpha=82.05 beta=82.05 gamma=82.05
Fractional positions:
Pa 0.154 0.154 0.154
Pa 0.846 0.846 0.846
Zn 0.402 0.402 0.402
Zn 0.598 0.598 0.598
Ni 0.000 0.500 0.500
Ni 0.153 0.153 0.658
Ni 0.153 0.658 0.153
Ni 0.193 0.500 0.807
Ni 0.193 0.807 0.500
Ni 0.342 0.847 0.847
Ni 0.500 0.000 0.500
Ni 0.500 0.193 0.807
Ni 0.500 0.500 0.000
Ni 0.500 0.807 0.193
Ni 0.658 0.153 0.153
Ni 0.807 0.193 0.500
Ni 0.807 0.500 0.193
Ni 0.847 0.342 0.847
Ni 0.847 0.847 0.342

Values from the calculation:
* raw total energy: -5.97 eV per atom
* formation energy: -0.2684 eV/atom